Entry 1:
Density functional theory data (SCAN) for a PBEsol-optimized structure of Na2LiGe.

## Properties
* total energy: -7.363 eV/atom
* M_tot: 0.000 Bohr magnetons per cell
* DOS at the Fermi energy: 1.73 states/eV/cell

Structure (POSCAR):
```
Na2LiGe
1.0
-2.0855 2.0855 10.6079
2.0855 -2.0855 10.6079
2.0855 2.0855 -10.6079
Na Li Ge
4 2 2
Direct
0.1130 0.6250 0.9880 Na
0.3750 0.3630 0.4880 Na
0.6370 0.1250 0.0120 Na
0.8750 0.8870 0.5120 Na
0.2500 0.7500 0.5000 Li
0.5000 0.5000 0.0000 Li
0.0000 0.0000 0.0000 Ge
0.7500 0.2500 0.5000 Ge
```

Entry 2:
Density functional theory data (SCAN) for a PBEsol-optimized structure of CoMo2.

## Properties
* total energy: -28.798 eV/atom
* M_tot: 2.396 Bohr magnetons per cell
* DOS at the Fermi energy: 2.58 states/eV/cell

Structure (POSCAR):
```
CoMo2
1.0
-1.5593 1.5593 4.2733
1.5593 -1.5593 4.2733
1.5593 1.5593 -4.2733
Co Mo
1 2
Direct
0.0000 0.0000 0.0000 Co
0.3335 0.3335 0.0000 Mo
0.6665 0.6665 0.0000 Mo
```

Entry 3:
Density functional theory data (SCAN) for a PBEsol-optimized structure of FeBPbO4.

## Properties
* total energy: -19.888 eV/atom
* M_tot: 4.002 Bohr magnetons per cell
* formation energy (no corrections): -1.85 eV/atom

Structure (POSCAR):
```
FeBPbO4
1.0
6.5492 0.0000 0.0000
0.0000 5.7451 0.0000
0.0000 0.0000 8.6852
Fe B Pb O
4 4 4 16
Direct
0.0000 0.0000 0.0000 Fe
0.0000 0.5000 0.0000 Fe
0.5000 0.0000 0.5000 Fe
0.5000 0.5000 0.5000 Fe
0.2096 0.2500 0.2563 B
0.2904 0.7500 0.7563 B
0.7096 0.2500 0.2437 B
0.7904 0.7500 0.7437 B
0.0159 0.7500 0.3521 Pb
0.4841 0.2500 0.8521 Pb
0.5159 0.7500 0.1479 Pb
0.9841 0.2500 0.6479 Pb
0.1165 0.2500 0.9011 O
0.1680 0.0396 0.1828 O
0.1680 0.4604 0.1828 O
0.2154 0.7500 0.9033 O
0.2846 0.2500 0.4033 O
0.3320 0.5396 0.6828 O
0.3320 0.9604 0.6828 O
0.3835 0.7500 0.4011 O
0.6165 0.2500 0.5989 O
0.6680 0.0396 0.3172 O
0.6680 0.4604 0.3172 O
0.7154 0.7500 0.5967 O
0.7846 0.2500 0.0967 O
0.8320 0.5396 0.8172 O
0.8320 0.9604 0.8172 O
0.8835 0.7500 0.0989 O
```

Entry 4:
Density functional theory data (SCAN) for a PBEsol-optimized structure of BaCrSi2.

## Properties
* total energy: -18.865 eV/atom
* M_tot: 4.172 Bohr magnetons per cell
* DOS at the Fermi energy: 2.22 states/eV/cell
* formation energy (no corrections): 0.63 eV/atom

Structure (POSCAR):
```
BaCrSi2
1.0
0.0000 3.4852 3.4852
3.4852 0.0000 3.4852
3.4852 3.4852 0.0000
Ba Cr Si
1 1 2
Direct
0.0000 0.0000 0.0000 Ba
0.7500 0.7500 0.7500 Cr
0.2500 0.2500 0.2500 Si
0.5000 0.5000 0.5000 Si
```

Entry 5:
Density functional theory data (SCAN) for a PBEsol-optimized structure of CaTa2Pb.

## Properties
* total energy: -54.358 eV/atom
* M_tot: 0.000 Bohr magnetons per cell
* DOS at the Fermi energy: 3.12 states/eV/cell

Structure (POSCAR):
```
CaTa2Pb
1.0
1.8049 -2.5352 0.0000
1.8049 2.5352 0.0000
0.0000 0.0000 9.6946
Ca Ta Pb
1 2 1
Direct
0.0000 0.0000 0.0000 Ca
0.0000 0.0000 0.4736 Ta
0.5000 0.5000 0.2679 Ta
0.5000 0.5000 0.7173 Pb
```

Entry 6:
Density functional theory data (SCAN) for a PBEsol-optimized structure of ZnAsSe.

## Properties
* total energy: -17.657 eV/atom
* M_tot: 0.000 Bohr magnetons per cell
* DOS at the Fermi energy: 1.39 states/eV/cell
* formation energy (no corrections): 0.27 eV/atom

Structure (POSCAR):
```
ZnAsSe
1.0
0.0000 3.1170 3.1170
3.1170 0.0000 3.1170
3.1170 3.1170 0.0000
Zn As Se
1 1 1
Direct
0.0000 0.0000 0.0000 Zn
0.7500 0.7500 0.7500 As
0.2500 0.2500 0.2500 Se
```